# 1
First-principles (GGA-PBE) data for LaLu2Zr after structural relaxation, as listed in Alexandria via LeMat-Bulk.

CIF file:
```
data_LaLu2Zr
_chemical_formula_sum 'La1 Lu2 Zr1'
_symmetry_space_group_name_H-M 'P 1'
_symmetry_Int_Tables_number 1
_symmetry_space_group_name_Hall 'P 1'
_cell_length_a 4.856
_cell_length_b 4.877
_cell_length_c 4.877
_cell_angle_alpha 90.00
_cell_angle_beta 90.00
_cell_angle_gamma 90.00
loop_
_atom_site_label
_atom_site_type_symbol
_atom_site_fract_x
_atom_site_fract_y
_atom_site_fract_z
La1 La 0.500 0.500 0.500
Zr1 Zr 0.500 0.000 0.000
Lu1 Lu 0.000 0.000 0.500
Lu2 Lu 0.000 0.500 0.000
```

Results
Calculated total energy ... -5.528 eV/atom
Distance to the lowest polymorph of the same formula ... 0 meV per atom
Calculated formation energy ... 0.1011 eV/atom


# 2
First-principles (GGA-PBE) data for Tl2SiAu after structural relaxation, as listed in Alexandria via LeMat-Bulk.

CIF file:
```
data_Tl2SiAu
_chemical_formula_sum 'Tl2 Si1 Au1'
_symmetry_space_group_name_H-M 'P 1'
_symmetry_Int_Tables_number 1
_symmetry_space_group_name_Hall 'P 1'
_cell_length_a 7.206
_cell_length_b 5.332
_cell_length_c 3.383
_cell_angle_alpha 85.02
_cell_angle_beta 70.07
_cell_angle_gamma 124.58
loop_
_atom_site_label
_atom_site_type_symbol
_atom_site_fract_x
_atom_site_fract_y
_atom_site_fract_z
Tl1 Tl 0.000 0.000 0.000
Tl2 Tl 0.500 0.000 0.500
Si1 Si 0.500 0.500 0.000
Au1 Au 0.000 0.500 0.500
```

Results
Calculated total energy ... -3.002 eV/atom
Distance to the lowest polymorph of the same formula ... 328 meV per atom
Raw formation energy ... 0.36 eV per atom